Record 1
Material: CeTiPt6
Method: DFT, PBE
State: optimized geometry

Values from the calculation:
DFT formation energy: -86.4 kJ per mole of atoms
total magnetic moment: 0.25 μB/f.u.
V: 134.4 Å³/cell

Structure (POSCAR):
```
CeTiPt6
1.0
4.071 0.000 0.000
0.000 4.071 0.000
0.000 0.000 8.111
Ce Ti Pt
1 1 6
Direct
0.000 0.000 0.000
0.000 0.000 0.500
0.000 0.500 0.267
0.000 0.500 0.733
0.500 0.000 0.267
0.500 0.000 0.733
0.500 0.500 0.000
0.500 0.500 0.500
```

Record 2
Material: CaLaTlRh
Method: DFT, PBE
State: optimized geometry

Values from the calculation:
DFT formation energy: -36.9 kJ per mole of atoms
total magnetic moment: 0.00 μB/f.u.
V: 103.3 Å³/cell

Structure (POSCAR):
```
CaLaTlRh
1.0
0.000 3.724 3.724
3.724 0.000 3.724
3.724 3.724 0.000
Ca La Tl Rh
1 1 1 1
Direct
0.000 0.000 0.000
0.500 0.500 0.500
0.750 0.750 0.750
0.250 0.250 0.250
```

Record 3
Material: SmIn4Cu2
Method: DFT, PBE
State: optimized geometry

Values from the calculation:
DFT formation energy: -21.6 kJ per mole of atoms
total magnetic moment: 0.00 μB/f.u.
V: 602.6 Å³/cell

Structure (POSCAR):
```
SmIn4Cu2
1.0
18.239 0.000 0.000
0.000 4.547 0.000
0.000 0.000 7.266
Sm In Cu
4 16 8
Direct
0.142 0.250 0.022
0.358 0.750 0.522
0.642 0.250 0.478
0.858 0.750 0.978
0.031 0.750 0.855
0.070 0.250 0.498
0.184 0.750 0.323
0.192 0.750 0.732
0.308 0.250 0.232
0.316 0.250 0.823
0.430 0.750 0.998
0.469 0.250 0.355
0.531 0.750 0.645
0.570 0.250 0.002
0.684 0.750 0.177
0.692 0.750 0.768
0.808 0.250 0.268
0.816 0.250 0.677
0.930 0.750 0.502
0.969 0.250 0.145
0.040 0.750 0.244
0.219 0.250 0.533
0.281 0.750 0.033
0.460 0.250 0.744
0.540 0.750 0.256
0.719 0.250 0.967
0.781 0.750 0.467
0.960 0.250 0.756
```

Record 4
Material: PuCdRuAu
Method: DFT, PBE
State: optimized geometry

Values from the calculation:
DFT formation energy: -1.2 kJ per mole of atoms
total magnetic moment: 4.37 μB/f.u.
V: 79.6 Å³/cell

Structure (POSCAR):
```
PuCdRuAu
1.0
0.000 3.414 3.414
3.414 0.000 3.414
3.414 3.414 0.000
Pu Cd Ru Au
1 1 1 1
Direct
0.000 0.000 0.000
0.500 0.500 0.500
0.750 0.750 0.750
0.250 0.250 0.250
```

> DFT formation energy of number 3 (SmIn4Cu2)?

-21.6 kJ per mole of atoms

> Among the records above, which one has the highest total magnetic moment?

PuCdRuAu

> What is the V in the third record?

602.6 Å³/cell

> Number 4 is which compound?

PuCdRuAu